Here is a geometry-optimized Ba2ScAg2O6 structure from Alexandria via LeMat-Bulk. Energies are from GGA-PBE.

For the density of states at the Fermi level, the calculation gives 21.6 states/eV/cell. The magnetic moment is 2.05 μB per formula unit. The energy relative to the elements, uncorrected comes out at -1.604 eV/atom. The mass density is 5.45 g cm⁻³.

The space group is R-3m (No. 166, hexagonal axes) and the conventional cell measures 6.2466, 6.2466 and 17.0694 Å, with angles of 90.00, 90.00 and 120.00 degrees. The distinct sites, in fractional coordinates, are Ba at (0.0000, 0.0000, 0.2140), Sc at (0.0000, 0.0000, 0.0000), Ag at (0.0000, 0.0000, 0.4146) and O at (0.0459, 0.5229, 0.7508).

Here is a geometry-optimized Ba3ScAg2O6 structure from Alexandria via LeMat-Bulk. Energies are from GGA-PBE.

For the density of states at the Fermi level, the calculation gives 6.7 states/eV/cell. The magnetic moment is 0.00 μB per formula unit. The energy relative to the elements, uncorrected comes out at -1.858 eV/atom. The mass density is 5.73 g cm⁻³.

The space group is P-3m1 (No. 164) and the conventional cell measures 6.1447, 6.1447 and 6.8152 Å, with angles of 90.00, 90.00 and 120.00 degrees. The distinct sites, in fractional coordinates, are Ba at (0.0000, 0.0000, 0.0000), Ba at (0.3333, 0.6667, 0.6227), Sc at (0.0000, 0.0000, 0.5000), Ag at (0.3333, 0.6667, 0.1438) and O at (0.1593, 0.3185, 0.3154).

Here is a geometry-optimized Ba2AgSe2O6 structure from Alexandria via LeMat-Bulk. Energies are from GGA-PBE.

For the density of states at the Fermi level, the calculation gives 8.5 states/eV/cell. The magnetic moment is 0.00 μB per formula unit. The energy relative to the elements, uncorrected comes out at -1.356 eV/atom. The mass density is 4.98 g cm⁻³.

The space group is C2/m (No. 12) and the conventional cell measures 10.8063, 5.4563 and 8.0474 Å, with angles of 90.00, 116.64 and 90.00 degrees. The distinct sites, in fractional coordinates, are Ba at (0.1896, 0.0000, 0.1579), Ag at (0.0000, 0.0000, 0.5000), Se at (0.0404, 0.5000, 0.3021), O at (0.0558, 0.2584, 0.8384) and O at (0.1935, 0.5000, 0.2831).

Here is a geometry-optimized BaAg2SeO4 structure from Alexandria via LeMat-Bulk. Energies are from GGA-PBE.

For the density of states at the Fermi level, the calculation gives 0.0 states/eV/cell. The magnetic moment is 0.00 μB per formula unit. The energy relative to the elements, uncorrected comes out at -1.091 eV/atom. The mass density is 4.99 g cm⁻³.

The space group is C2 (No. 5) and the conventional cell measures 13.0638, 7.2813 and 9.5040 Å, with angles of 90.00, 133.06 and 90.00 degrees. The distinct sites, in fractional coordinates, are Ba at (0.1208, 0.0000, 0.4028), Ag at (0.0043, 0.5225, 0.1566), Ag at (0.2430, 0.7505, 0.1665), Se at (0.2345, 0.7245, 0.8286), O at (0.1266, 0.9112, 0.7154), O at (0.1404, 0.2947, 0.9238), O at (0.1721, 0.7147, 0.3075) and O at (0.1766, 0.2385, 0.2430).

Here is a geometry-optimized BaAgSeO4 structure from Alexandria via LeMat-Bulk. Energies are from GGA-PBE.

For the density of states at the Fermi level, the calculation gives 4.3 states/eV/cell. The magnetic moment is 0.00 μB per formula unit. The energy relative to the elements, uncorrected comes out at -0.769 eV/atom. The mass density is 3.45 g cm⁻³.

The space group is F-43m (No. 216) and the conventional cell measures 9.0771, 9.0771 and 9.0771 Å, with angles of 90.00, 90.00 and 90.00 degrees. The distinct sites, in fractional coordinates, are Ba at (0.0000, 0.0000, 0.0000), Ag at (0.2500, 0.2500, 0.7500), Se at (0.0000, 0.0000, 0.5000) and O at (0.1100, 0.1100, 0.6100).

Here is a geometry-optimized BaAgSe2O8 structure from Alexandria via LeMat-Bulk. Energies are from GGA-PBE.

For the density of states at the Fermi level, the calculation gives 17.0 states/eV/cell. The magnetic moment is 1.07 μB per formula unit. The energy relative to the elements, uncorrected comes out at -0.986 eV/atom. The mass density is 4.74 g cm⁻³.

The space group is R-3 (No. 148, hexagonal axes) and the conventional cell measures 5.2351, 5.2351 and 23.5202 Å, with angles of 90.00, 90.00 and 120.00 degrees. The distinct sites, in fractional coordinates, are Ba at (0.0000, 0.0000, 0.0000), Ag at (0.0000, 0.0000, 0.5000), Se at (0.0000, 0.0000, 0.2465), O at (0.0000, 0.0000, 0.3181) and O at (0.0163, 0.3160, 0.7738).

Here is a geometry-optimized Ba2ZnAg2Se2O2 structure from Alexandria via LeMat-Bulk. Energies are from GGA-PBE.

The magnetic moment is 0.00 μB per formula unit. The energy relative to the elements, uncorrected comes out at -1.393 eV/atom. The mass density is 6.45 g cm⁻³.

The space group is Cmce (No. 64) and the conventional cell measures 20.3028, 6.1487 and 6.1470 Å, with angles of 90.00, 90.00 and 90.00 degrees. The distinct sites, in fractional coordinates, are Ba at (0.0878, 0.0000, 0.0000), Zn at (0.0000, 0.0000, 0.5000), Ag at (0.2500, 0.2477, 0.2500), Se at (0.1636, 0.0000, 0.5000) and O at (0.0000, 0.2152, 0.2843).

Here is a geometry-optimized Ba2SiAgO4 structure from Alexandria via LeMat-Bulk. Energies are from GGA-PBE.

For the density of states at the Fermi level, the calculation gives 6.5 states/eV/cell. The magnetic moment is 0.00 μB per formula unit. The energy relative to the elements, uncorrected comes out at -2.099 eV/atom. The mass density is 5.09 g cm⁻³.

The space group is I-4 (No. 82) and the conventional cell measures 6.7796, 6.7796 and 6.7430 Å, with angles of 90.00, 90.00 and 90.00 degrees. The distinct sites, in fractional coordinates, are Ba at (0.0000, 0.0000, 0.0000), Ba at (0.0000, 0.5000, 0.2500), Si at (0.0000, 0.5000, 0.7500), Ag at (0.0000, 0.0000, 0.5000) and O at (0.1264, 0.6517, 0.8974).